The following is a DFT calculation (PBE) of a relaxed structure of NdAuO3.

Lattice parameters (Å, degrees): 6.5253 7.3769 5.6819 90.00 90.00 90.00
Element x y z (fractional)
Nd 0.1004 0.2500 0.0322
Nd 0.3996 0.7500 0.5322
Nd 0.6004 0.2500 0.4678
Nd 0.8996 0.7500 0.9678
Au 0.0000 0.0000 0.5000
Au 0.0000 0.5000 0.5000
Au 0.5000 0.0000 0.0000
Au 0.5000 0.5000 0.0000
O 0.0621 0.7500 0.3534
O 0.1503 0.5554 0.8022
O 0.1503 0.9446 0.8022
O 0.3497 0.0554 0.3022
O 0.3497 0.4446 0.3022
O 0.4379 0.2500 0.8534
O 0.5621 0.7500 0.1466
O 0.6503 0.5554 0.6978
O 0.6503 0.9446 0.6978
O 0.8497 0.0554 0.1978
O 0.8497 0.4446 0.1978
O 0.9379 0.2500 0.6466

- space-group type = No. 62
- total magnetization (μB per cell) = 0.00
- VASP energy (eV for the cell shown) = -125.25

---

The following is a DFT calculation (PBE) of a relaxed structure of NdYW.

Lattice parameters (Å, degrees): 4.9299 4.9299 4.9299 60.00 60.00 60.00
Element x y z (fractional)
Nd 0.0000 0.0000 0.0000
Y 0.5000 0.5000 0.5000
W 0.2500 0.2500 0.2500

- space-group type = No. 216
- energy relative to the lowest polymorph listed for this composition (eV/f.u.) = 0.000
- formation energy (eV/f.u.) = 2.6
- total magnetization (μB per cell) = 0.00

---

- What is the total magnetization in the first record?
  0.00 μB per cell

---

- What is the formula in the first record?
  NdAuO3

---

Copy entry 1 word for word.
The following is a DFT calculation (PBE) of a relaxed structure of NdAuO3.

Lattice parameters (Å, degrees): 6.5253 7.3769 5.6819 90.00 90.00 90.00
Element x y z (fractional)
Nd 0.1004 0.2500 0.0322
Nd 0.3996 0.7500 0.5322
Nd 0.6004 0.2500 0.4678
Nd 0.8996 0.7500 0.9678
Au 0.0000 0.0000 0.5000
Au 0.0000 0.5000 0.5000
Au 0.5000 0.0000 0.0000
Au 0.5000 0.5000 0.0000
O 0.0621 0.7500 0.3534
O 0.1503 0.5554 0.8022
O 0.1503 0.9446 0.8022
O 0.3497 0.0554 0.3022
O 0.3497 0.4446 0.3022
O 0.4379 0.2500 0.8534
O 0.5621 0.7500 0.1466
O 0.6503 0.5554 0.6978
O 0.6503 0.9446 0.6978
O 0.8497 0.0554 0.1978
O 0.8497 0.4446 0.1978
O 0.9379 0.2500 0.6466

- space-group type = No. 62
- total magnetization (μB per cell) = 0.00
- VASP energy (eV for the cell shown) = -125.25